#P
HfZn3Pb PBE optimized geometry; space group = Pm-3m, No. 221
1.0
5.069 0.000 0.000
0.000 5.069 0.000
0.000 0.000 5.069
Hf Zn Pb
1 3 1
Cartesian
0.000 0.000 0.000
0.000 2.535 2.535
2.535 0.000 2.535
2.535 2.535 0.000
2.535 2.535 2.535

#Q
HfZn3Pb PBE optimized geometry; space group = Pm-3m, No. 221
1.0
5.197 0.000 0.000
0.000 5.197 0.000
0.000 0.000 5.197
Hf Zn Pb
1 3 1
Cartesian
0.000 0.000 0.000
0.000 0.000 2.598
0.000 2.598 0.000
2.598 0.000 0.000
2.598 2.598 2.598

Computed energies relative to the best structure, in kJ/mol of atoms: #P 30.6; #Q 0.0